(1)
A geometry-optimized K2PPtI structure. Source: the Alexandria database, functional PBE-GGA.

Values from the calculation:
* total energy: -18.837 eV per cell
* ρ: 3.937 g/cm³
* energy relative to the lowest polymorph listed for this composition: 0 meV/atom
* formation energy without anion corrections: -0.728 eV/atom
* DOS(E_F): 2.6 states/eV/cell
* spin magnetization: 0.0 μB per cell

a b c (Å): 6.4590 6.4590 4.3596
angles (deg): 90.00 90.00 90.00
Closest atoms and distances in Å follow each position.
Fractional positions:
I 0.5000 0.5000 0.5000  8 K 3.90, 2 I 4.36
P 0.0000 0.0000 0.5000  2 Pt 2.18
K 0.0000 0.5000 0.0000  2 Pt 3.23
K 0.5000 0.0000 0.0000  2 Pt 3.23
Pt 0.0000 0.0000 0.0000  2 P 2.18



(2)
A geometry-optimized Ce2HoVN5 structure. Source: the Alexandria database, functional PBE-GGA.

Values from the calculation:
* total energy: -158.021 eV per cell
* ρ: 7.548 g/cm³
* formation energy without anion corrections: -1.313 eV/atom
* DOS(E_F): 14.2 states/eV/cell
* spin magnetization: 1.9 μB per cell

a b c (Å): 3.4079 7.1309 10.5555
angles (deg): 90.00 90.00 103.82
Closest atoms and distances in Å follow each position.
Fractional positions:
Ce 0.8550 0.7099 0.7878  5 N 2.33-2.53
Ce 0.1201 0.2402 0.7020  5 N 2.35-2.62
Ce 0.1450 0.2901 0.2878  5 N 2.33-2.53
Ce 0.8799 0.7598 0.2020  5 N 2.35-2.62
Ho 0.7940 0.5881 0.5010  6 N 2.32-2.40
Ho 0.2060 0.4119 0.0010  6 N 2.32-2.40
V 0.4994 0.9989 0.9704  4 N 1.79-1.91
V 0.5006 0.0011 0.4704  4 N 1.79-1.91
N 0.3735 0.7469 0.0137  1 V 1.80
N 0.6941 0.3881 0.8508  3 Ce 2.33-2.53, 2 Ho 2.33
N 0.4900 0.9801 0.8010  1 V 1.79
N 0.2871 0.5741 0.6604  3 Ce 2.35-2.37, 2 Ho 2.40
N 0.9633 0.9265 0.5369  2 V 1.91
N 0.6265 0.2531 0.5137  1 V 1.80
N 0.3059 0.6119 0.3508  3 Ce 2.33-2.53, 2 Ho 2.33
N 0.5100 0.0199 0.3010  1 V 1.79
N 0.7129 0.4259 0.1604  3 Ce 2.35-2.37, 2 Ho 2.40
N 0.0367 0.0735 0.0369  2 V 1.91